(1)
## NbVB2 (GGA-PBE)

Data for NbVB2 after structural relaxation.

D(E_F)	0.290	states/eV per atom
energy above the lowest structure with this stoichiometry	0.000	eV/atom
calculated formation energy	-0.771	eV per atom

Cell lengths 3.0764, 4.5230, 4.5230 Å; angles 41.37, 90.00, 90.00 degrees
Fractional coordinates of all 4 atoms:
Nb: 0.0000 0.0000 0.0000
V: 0.5000 0.7088 0.7088
B: 0.0000 0.2878 0.2878
B: 0.5000 0.4035 0.4035


(2)
## CaIrW (GGA-PBE)

Data for CaIrW after structural relaxation.

D(E_F)	1.154	states/eV per atom
energy above the lowest structure with this stoichiometry	0.351	eV/atom
calculated formation energy	0.562	eV per atom

Cell lengths 4.4757, 4.4757, 4.4757 Å; angles 60.00, 60.00, 60.00 degrees
Fractional coordinates of all 3 atoms:
Ca: 0.0000 0.0000 0.0000
Ir: 0.7500 0.7500 0.7500
W: 0.5000 0.5000 0.5000


(3)
## TaTeC2 (GGA-PBE)

Data for TaTeC2 after structural relaxation.

D(E_F)	0.602	states/eV per atom
final energy	-0.2696	Ha/atom

Cell lengths 6.1648, 6.1648, 6.1648 Å; angles 129.82, 129.82, 73.69 degrees
Fractional coordinates of all 8 atoms:
Ta: 0.0000 0.0000 0.0000
Ta: 0.7500 0.2500 0.5000
Te: 0.2500 0.7500 0.5000
Te: 0.5000 0.5000 0.0000
C: 0.0752 0.6250 0.9502
C: 0.3750 0.3252 0.4502
C: 0.6748 0.1250 0.0498
C: 0.8750 0.9248 0.5498


(4)
## AlHSe2 (GGA-PBE)

Data for AlHSe2 after structural relaxation.

D(E_F)	0.000	states/eV per atom
energy above the lowest structure with this stoichiometry	0.076	eV/atom

Cell lengths 3.7956, 3.7956, 6.5711 Å; angles 90.00, 90.00, 120.00 degrees
Fractional coordinates of all 4 atoms:
Al: 0.0000 0.0000 0.0000
H: 0.3333 0.6667 0.5503
Se: 0.3333 0.6667 0.7779
Se: 0.6667 0.3333 0.1940


(5)
## NbMo3Cl9 (GGA-PBE)

Data for NbMo3Cl9 after structural relaxation.

final energy	-0.1919	Ha/atom

Cell lengths 8.4651, 8.4651, 11.6440 Å; angles 103.56, 103.56, 63.45 degrees
Fractional coordinates of all 26 atoms:
Nb: 0.2252 0.7748 0.5000
Nb: 0.7748 0.2252 0.0000
Mo: 0.1979 0.4151 0.8031
Mo: 0.3635 0.9490 0.4841
Mo: 0.4151 0.1979 0.3031
Mo: 0.6711 0.9561 0.3232
Mo: 0.9490 0.3635 0.9841
Mo: 0.9561 0.6711 0.8232
Cl: 0.1654 0.1975 0.3770
Cl: 0.1686 0.4074 0.1485
Cl: 0.1755 0.6826 0.7219
Cl: 0.1975 0.1654 0.8770
Cl: 0.2600 0.7636 0.2981
Cl: 0.4074 0.1686 0.6485
Cl: 0.4275 0.4379 0.4648
Cl: 0.4379 0.4275 0.9648
Cl: 0.4501 0.9306 0.1526
Cl: 0.4897 0.7573 0.6495
Cl: 0.6561 0.7474 0.4268
Cl: 0.6826 0.1755 0.2219
Cl: 0.7474 0.6561 0.9268
Cl: 0.7573 0.4897 0.1495
Cl: 0.7636 0.2600 0.7981
Cl: 0.9086 0.9922 0.4909
Cl: 0.9306 0.4501 0.6526
Cl: 0.9922 0.9086 0.9909


(6)
## Rb2TlSb2 (GGA-PBE)

Data for Rb2TlSb2 after structural relaxation.

D(E_F)	1.262	states/eV per atom
energy above the lowest structure with this stoichiometry	0.268	eV/atom

Cell lengths 8.4186, 8.4186, 8.4186 Å; angles 141.84, 141.84, 55.07 degrees
Fractional coordinates of all 5 atoms:
Rb: 0.2500 0.7500 0.5000
Rb: 0.7500 0.2500 0.5000
Tl: 0.0000 0.0000 0.0000
Sb: 0.4097 0.4097 0.0000
Sb: 0.5903 0.5903 0.0000